Here is a relaxed structure of Li2SmSbS4 from Alexandria. Energies are from PBE.

CIF file:
```
data_Li2SmSbS4
_chemical_formula_sum 'Li2 Sm1 Sb1 S4'
_symmetry_space_group_name_H-M 'P 1 2/m 1'
_symmetry_Int_Tables_number 10
_symmetry_space_group_name_Hall '-P 2y'
_cell_length_a 6.617
_cell_length_b 3.955
_cell_length_c 6.879
_cell_angle_alpha 90.00
_cell_angle_beta 110.26
_cell_angle_gamma 90.00
loop_
_atom_site_label
_atom_site_fract_x
_atom_site_fract_y
_atom_site_fract_z
Li1 0.000 0.000 0.000
Li2 0.000 0.500 0.500
Sm1 0.500 0.000 0.500
Sb1 0.500 0.500 0.000
S1 0.244 0.000 0.751
S2 0.246 0.500 0.244
```

* total energy: -4.88 eV/atom
* calculated volume: 168.9 Å³/cell



Here is a relaxed structure of Li4Sm3SbS8 from Alexandria. Energies are from PBE.

CIF file:
```
data_Li4Sm3SbS8
_chemical_formula_sum 'Li12 Sm9 Sb3 S24'
_symmetry_space_group_name_H-M 'R -3 m'
_symmetry_Int_Tables_number 166
_symmetry_space_group_name_Hall '-R 3 2"'
_cell_length_a 7.9742
_cell_length_b 7.9742
_cell_length_c 18.6088
_cell_angle_alpha 90.00
_cell_angle_beta 90.00
_cell_angle_gamma 120.00
loop_
_atom_site_label
_atom_site_fract_x
_atom_site_fract_y
_atom_site_fract_z
Li1 0.0000 0.0000 0.0000
Li2 0.0000 0.5000 0.0000
Sm1 0.0000 0.5000 0.5000
Sb1 0.0000 0.0000 0.5000
S1 0.0000 0.0000 0.2515
S2 0.0046 0.5023 0.2514
```

* total energy: -5.20 eV/atom
* calculated volume: 1024.6 Å³/cell



Here is a relaxed structure of LiSn2SbS4 from Alexandria. Energies are from PBE.

CIF file:
```
data_LiSn2SbS4
_chemical_formula_sum 'Li1 Sn2 Sb1 S4'
_symmetry_space_group_name_H-M 'P 1 2/m 1'
_symmetry_Int_Tables_number 10
_symmetry_space_group_name_Hall '-P 2y'
_cell_length_a 6.871
_cell_length_b 4.028
_cell_length_c 6.908
_cell_angle_alpha 90.00
_cell_angle_beta 108.64
_cell_angle_gamma 90.00
loop_
_atom_site_label
_atom_site_fract_x
_atom_site_fract_y
_atom_site_fract_z
Li1 0.000 0.000 0.000
Sn1 0.000 0.500 0.500
Sn2 0.500 0.000 0.500
Sb1 0.500 0.500 0.000
S1 0.244 0.500 0.235
S2 0.247 0.000 0.768
```

* total energy: -4.33 eV/atom
* calculated volume: 181.2 Å³/cell



Here is a relaxed structure of Li2SnSbS4 from Alexandria. Energies are from PBE.

CIF file:
```
data_Li2SnSbS4
_chemical_formula_sum 'Li2 Sn1 Sb1 S4'
_symmetry_space_group_name_H-M 'P 1 2/m 1'
_symmetry_Int_Tables_number 10
_symmetry_space_group_name_Hall '-P 2y'
_cell_length_a 6.679
_cell_length_b 3.847
_cell_length_c 6.691
_cell_angle_alpha 90.00
_cell_angle_beta 109.72
_cell_angle_gamma 90.00
loop_
_atom_site_label
_atom_site_fract_x
_atom_site_fract_y
_atom_site_fract_z
Li1 0.000 0.000 0.000
Li2 0.000 0.500 0.500
Sn1 0.500 0.000 0.500
Sb1 0.500 0.500 0.000
S1 0.241 0.500 0.246
S2 0.242 0.000 0.746
```

* total energy: -4.23 eV/atom
* calculated volume: 161.9 Å³/cell



Here is a relaxed structure of Li3Tb3SbS8 from Alexandria. Energies are from PBE.

CIF file:
```
data_Li3Tb3SbS8
_chemical_formula_sum 'Li9 Tb9 Sb3 S24'
_symmetry_space_group_name_H-M 'R -3 m'
_symmetry_Int_Tables_number 166
_symmetry_space_group_name_Hall '-R 3 2"'
_cell_length_a 7.8483
_cell_length_b 7.8483
_cell_length_c 18.5048
_cell_angle_alpha 90.00
_cell_angle_beta 90.00
_cell_angle_gamma 120.00
loop_
_atom_site_label
_atom_site_fract_x
_atom_site_fract_y
_atom_site_fract_z
Li1 0.0000 0.5000 0.0000
Tb1 0.0000 0.5000 0.5000
Sb1 0.0000 0.0000 0.5000
S1 0.0000 0.0000 0.2499
S2 0.0146 0.5073 0.2482
```

* total energy: -5.28 eV/atom
* calculated volume: 987.1 Å³/cell



Here is a relaxed structure of Li2TbSbS4 from Alexandria. Energies are from PBE.

CIF file:
```
data_Li2TbSbS4
_chemical_formula_sum 'Li2 Tb1 Sb1 S4'
_symmetry_space_group_name_H-M 'P 1 2/m 1'
_symmetry_Int_Tables_number 10
_symmetry_space_group_name_Hall '-P 2y'
_cell_length_a 6.601
_cell_length_b 3.917
_cell_length_c 6.823
_cell_angle_alpha 90.00
_cell_angle_beta 110.13
_cell_angle_gamma 90.00
loop_
_atom_site_label
_atom_site_fract_x
_atom_site_fract_y
_atom_site_fract_z
Li1 0.000 0.000 0.000
Li2 0.000 0.500 0.500
Tb1 0.500 0.000 0.500
Sb1 0.500 0.500 0.000
S1 0.245 0.000 0.747
S2 0.249 0.500 0.248
```

* total energy: -4.88 eV/atom
* calculated volume: 165.6 Å³/cell



Here is a relaxed structure of Li2SbTeS4 from Alexandria. Energies are from PBE.

CIF file:
```
data_Li2SbTeS4
_chemical_formula_sum 'Li8 Sb4 Te4 S16'
_symmetry_space_group_name_H-M 'C 1 2/c 1'
_symmetry_Int_Tables_number 15
_symmetry_space_group_name_Hall '-C 2yc'
_cell_length_a 10.919
_cell_length_b 10.678
_cell_length_c 7.749
_cell_angle_alpha 90.00
_cell_angle_beta 130.43
_cell_angle_gamma 90.00
loop_
_atom_site_label
_atom_site_fract_x
_atom_site_fract_y
_atom_site_fract_z
Li1 0.000 0.000 0.000
Li2 0.250 0.250 0.000
Sb1 0.000 0.500 0.000
Te1 0.250 0.250 0.500
S1 0.032 0.244 0.546
S2 0.240 0.500 0.471
```

* total energy: -3.93 eV/atom
* calculated volume: 687.6 Å³/cell



Here is a relaxed structure of LiSb2TeS from Alexandria. Energies are from PBE.

CIF file:
```
data_LiSb2TeS
_chemical_formula_sum 'Li1 Sb2 Te1 S1'
_symmetry_space_group_name_H-M 'P 4/m m m'
_symmetry_Int_Tables_number 123
_symmetry_space_group_name_Hall '-P 4 2'
_cell_length_a 5.157
_cell_length_b 5.157
_cell_length_c 4.658
_cell_angle_alpha 90.00
_cell_angle_beta 90.00
_cell_angle_gamma 90.00
loop_
_atom_site_label
_atom_site_fract_x
_atom_site_fract_y
_atom_site_fract_z
Li1 0.000 0.000 0.000
Sb1 0.000 0.500 0.000
Te1 0.000 0.000 0.500
S1 0.500 0.500 0.500
```

* calculated volume: 123.9 Å³/cell
* energy relative to the lowest polymorph listed for this composition: 204 meV/atom



Here is a relaxed structure of LiSb2TeS from Alexandria. Energies are from PBE.

CIF file:
```
data_LiSb2TeS
_chemical_formula_sum 'Li1 Sb2 Te1 S1'
_symmetry_space_group_name_H-M 'P 4/m m m'
_symmetry_Int_Tables_number 123
_symmetry_space_group_name_Hall '-P 4 2'
_cell_length_a 5.262
_cell_length_b 5.262
_cell_length_c 5.367
_cell_angle_alpha 90.00
_cell_angle_beta 90.00
_cell_angle_gamma 90.00
loop_
_atom_site_label
_atom_site_fract_x
_atom_site_fract_y
_atom_site_fract_z
Li1 0.000 0.000 0.000
Sb1 0.000 0.500 0.500
Te1 0.500 0.500 0.000
S1 0.500 0.500 0.500
```

* calculated volume: 148.6 Å³/cell
* energy relative to the lowest polymorph listed for this composition: 0 meV/atom



> The highest calculated volume belongs to which entry?

Li4Sm3SbS8



> Which value of calculated volume does entry 9 give?

148.6 Å³/cell



> Which of these has the highest calculated volume?

Li4Sm3SbS8



> The lowest calculated volume belongs to which entry?

number 8